LiBeSi2: relaxed, PBE.

The structure in POSCAR format:
```
LiBeSi2
1.0
-3.229 -0.533 -2.647
-4.007 -1.283 -0.127
-2.331 4.228 0.539
Si Li Be
2 1 1
direct
0.012 0.012 0.974
0.488 0.488 0.526
0.250 0.250 0.250
0.750 0.750 0.750
```

## Properties
- Total magnetic moment: 0.00 μB/atom
- Symmetry: C2/m, No. 12
- Formation energy from raw total energies: 0.15 eV/atom

SrZr2Tl: relaxed, PBE.

The structure in POSCAR format:
```
SrZr2Tl
1.0
-3.900 -1.656 3.525
-3.961 -3.714 0.945
3.654 -4.265 3.315
Zr Tl Sr
2 1 1
direct
0.002 0.002 0.028
0.266 0.266 0.181
0.741 0.741 0.776
0.492 0.492 0.516
```

## Properties
- Total magnetic moment: 0.00 μB/atom
- Formation energy from the elements: 231 meV per atom
- Symmetry: Cm, No. 8